## one
Entry from the Alexandria database: an optimized crystal structure of BaEuCd2 (PBE).

a b c (Å): 4.092 4.092 8.191
angles (deg): 90.00 90.00 90.00
Fractional positions:
Ba: 0.000 0.000 0.000
Eu: 0.000 0.000 0.500
Cd: 0.500 0.500 0.279
Cd: 0.500 0.500 0.721

- Symmetry: No. 123

---

## two
Entry from the Alexandria database: an optimized crystal structure of BaEuCd2 (PBE).

a b c (Å): 8.229 8.229 8.229
angles (deg): 90.00 90.00 90.00
Fractional positions:
Ba: 0.000 0.000 0.000
Ba: 0.000 0.500 0.500
Ba: 0.500 0.000 0.500
Ba: 0.500 0.500 0.000
Eu: 0.000 0.000 0.500
Eu: 0.000 0.500 0.000
Eu: 0.500 0.000 0.000
Eu: 0.500 0.500 0.500
Cd: 0.250 0.250 0.250
Cd: 0.250 0.250 0.750
Cd: 0.250 0.750 0.250
Cd: 0.250 0.750 0.750
Cd: 0.750 0.250 0.250
Cd: 0.750 0.250 0.750
Cd: 0.750 0.750 0.250
Cd: 0.750 0.750 0.750

- Symmetry: No. 225

---

one is favored, and the nearest alternative lies 0.019 eV/atom above it.